Pm3Sm2In4 | PBE | relaxed

a = 5.396 Å, b = 5.400 Å, c = 10.432 Å
α = 89.94°, β = 90.00°, γ = 60.02°
Sites, in units of the cell vectors:
Pm 0.333 0.334 0.423
Pm 0.000 0.000 0.000
Pm 0.667 0.666 0.577
Sm 0.333 0.333 0.779
Sm 0.667 0.667 0.221
In 0.667 0.666 0.900
In 0.000 0.000 0.348
In 0.000 0.000 0.652
In 0.333 0.334 0.100

- energy above the most stable polymorph in this dataset (meV per atom) = 0.0
- crystal system = monoclinic
- formation energy (eV/f.u.) = -3.75